Record 1
VASP calculation (GGA-PBE) on an optimized crystal structure of ScPtBr2.

Cell lengths 5.473, 4.566, 4.491 Å; angles 90.02, 65.77, 114.66 degrees
Positions (direct):
Br (0.000, 0.000, 0.000)
Br (0.000, 0.500, 0.500)
Pt (0.500, 0.500, 0.000)
Sc (0.500, 0.000, 0.500)

## Properties
As for the space group: No. 12. The relative energy among the computed polymorphs is 0.4270 eV/atom.

Record 2
VASP calculation (GGA-PBE) on an optimized crystal structure of ScPtBr3.

Cell lengths 5.170, 5.170, 5.170 Å; angles 90.00, 90.00, 90.00 degrees
Positions (direct):
Sc (0.500, 0.500, 0.500)
Br (0.000, 0.500, 0.000)
Br (0.000, 0.000, 0.500)
Br (0.500, 0.000, 0.000)
Pt (0.000, 0.000, 0.000)

## Properties
As for the space group: No. 221. The relative energy among the computed polymorphs is 0.2058 eV/atom.

Record 3
VASP calculation (GGA-PBE) on an optimized crystal structure of ScPtBr2.

Cell lengths 3.333, 3.912, 8.482 Å; angles 79.73, 90.00, 90.00 degrees
Positions (direct):
Br (0.000, 0.845, 0.927)
Br (0.500, 0.195, 0.349)
Pt (0.000, 0.498, 0.541)
Sc (0.500, 0.962, 0.683)

## Properties
As for the space group: No. 6. The relative energy among the computed polymorphs is 0.0125 eV/atom.

Record 4
VASP calculation (GGA-PBE) on an optimized crystal structure of Sc4PtBr.

Cell lengths 5.744, 5.744, 5.744 Å; angles 60.00, 60.00, 60.00 degrees
Positions (direct):
Sc (0.879, 0.374, 0.374)
Sc (0.374, 0.374, 0.879)
Sc (0.374, 0.879, 0.374)
Sc (0.374, 0.374, 0.374)
Pt (0.000, 0.000, 0.000)
Br (0.750, 0.750, 0.750)

## Properties
As for the space group: No. 216.

| no. | raw formation energy (meV/atom) | V (Å³/cell) | electronic total energy (eV/atom) |
| --- | --- | --- | --- |
| 1 | -421 | 91.0 | -4.350 |
| 2 | -50 | 138.2 | -3.528 |
| 3 | -835 | 108.8 | -4.765 |
| 4 | 225 | 134.0 | -5.282 |